A plane-wave DFT calculation with PBE was carried out for a relaxed Sm2Al2SnRu5 crystal.

electronic total energy	-7.0652	eV per atom
space group	P4/mbm (127)
energy relative to the elements	-3.35	eV/f.u.

Cell: 10.173 10.173 3.401 Å, 90.00 90.00 90.00°
Atoms (fractional coordinates):
Sm: 0.174 0.326 0.000
Sm: 0.326 0.826 0.000
Sm: 0.674 0.174 0.000
Sm: 0.826 0.674 0.000
Al: 0.125 0.625 0.000
Al: 0.375 0.125 0.000
Al: 0.625 0.875 0.000
Al: 0.875 0.375 0.000
Sn: 0.000 0.000 0.000
Sn: 0.500 0.500 0.000
Ru: 0.000 0.500 0.500
Ru: 0.065 0.794 0.500
Ru: 0.206 0.065 0.500
Ru: 0.294 0.565 0.500
Ru: 0.435 0.294 0.500
Ru: 0.500 0.000 0.500
Ru: 0.565 0.706 0.500
Ru: 0.706 0.435 0.500
Ru: 0.794 0.935 0.500
Ru: 0.935 0.206 0.500